VASP calculation (PBE with a Hubbard U) on K6U5V2O23 after structural relaxation.

Unit cell a=25.0761 b=7.1068 c=7.2140 alpha=81.19 beta=90.00 gamma=90.00
Closest atoms and distances in Å follow each position.
Sites, in units of the cell vectors:
K 0.5384 0.0463 0.7369  6 O 2.74-2.90
O 0.5681 0.5879 0.8018  3 U 2.25-2.31
K 0.4616 0.9537 0.2631  6 O 2.74-2.90
U 0.0812 0.4111 0.0138  2 O 1.88
O 0.4407 0.1547 0.5572  1 U 1.88
O 0.5000 0.5000 0.5000  2 U 2.13
K 0.2015 0.7993 0.7665  5 O 2.73-2.97
O 0.5704 0.5630 0.1735  3 U 2.25-2.33
U 0.0000 0.5000 0.5000  2 O 1.89
K 0.1132 0.8726 0.2684  6 O 2.60-2.86
O 0.9296 0.5630 0.6735  3 U 2.25-2.33
O 0.3721 0.0900 0.0678  1 U 1.87
O 0.0680 0.4121 0.6982  3 U 2.25-2.31
O 0.8392 0.3927 0.5018  1 U 1.86
O 0.1064 0.6628 0.9671  1 U 1.88
U 0.1421 0.3513 0.5272  2 O 1.86-1.87
O 0.9407 0.8453 0.9428  1 U 1.88
K 0.6132 0.1274 0.2316  6 O 2.60-2.86
O 0.1620 0.3000 0.2170  1 V 1.77
O 0.6620 0.7000 0.2830  1 V 1.77
K 0.9616 0.0463 0.2369  6 O 2.74-2.90
O 0.1279 0.0900 0.5678  1 U 1.87
O 0.8380 0.7000 0.7830  1 V 1.77
O 0.3936 0.6628 0.4671  1 U 1.88
O 0.9789 0.2425 0.5293  1 U 1.89
U 0.9188 0.5889 0.9862  2 O 1.88
K 0.7985 0.2007 0.2335  5 O 2.73-2.97
O 0.6634 0.6831 0.6509  1 V 1.78
V 0.2032 0.2212 0.0448  4 O 1.69-1.78
O 0.4789 0.7575 0.9707  1 U 1.89
O 0.2936 0.9803 0.5735  1 V 1.69
O 0.6279 0.9100 0.9322  1 U 1.87
U 0.3579 0.3513 0.0272  2 O 1.86-1.87
O 0.2671 0.3121 0.0363  1 V 1.72
O 0.5211 0.2425 0.0293  1 U 1.89
O 0.0211 0.7575 0.4707  1 U 1.89
O 0.0000 0.5000 0.0000  2 U 2.13
O 0.0593 0.1547 0.0572  1 U 1.88
O 0.8721 0.9100 0.4322  1 U 1.87
O 0.8366 0.6831 0.1509  1 V 1.78
O 0.3392 0.6073 0.9982  1 U 1.86
O 0.8936 0.3372 0.0329  1 U 1.88
O 0.4320 0.4121 0.1982  3 U 2.25-2.31
O 0.0704 0.4370 0.3265  3 U 2.25-2.33
O 0.2329 0.3121 0.5363  1 V 1.72
O 0.3380 0.3000 0.7170  1 V 1.77
O 0.7671 0.6879 0.4637  1 V 1.72
O 0.9320 0.5879 0.3018  3 U 2.25-2.31
V 0.7968 0.7788 0.9552  4 O 1.69-1.78
O 0.1634 0.3169 0.8491  1 V 1.78
V 0.2968 0.2212 0.5448  4 O 1.69-1.78
U 0.8579 0.6487 0.4728  2 O 1.86-1.87
O 0.4296 0.4370 0.8265  3 U 2.25-2.33
U 0.5812 0.5889 0.4862  2 O 1.88
O 0.2064 0.9803 0.0735  1 V 1.69
O 0.6064 0.3372 0.5329  1 U 1.88
K 0.3868 0.8726 0.7684  6 O 2.60-2.86
O 0.1608 0.6073 0.4982  1 U 1.86
K 0.2985 0.7993 0.2665  5 O 2.73-2.97
U 0.5000 0.5000 0.0000  2 O 1.89
K 0.7015 0.2007 0.7335  5 O 2.73-2.97
O 0.5593 0.8453 0.4428  1 U 1.88
K 0.0384 0.9537 0.7631  6 O 2.74-2.90
O 0.7064 0.0197 0.4265  1 V 1.69
O 0.7936 0.0197 0.9265  1 V 1.69
O 0.3366 0.3169 0.3491  1 V 1.78
O 0.7329 0.6879 0.9637  1 V 1.72
V 0.7032 0.7788 0.4552  4 O 1.69-1.78
K 0.8868 0.1274 0.7316  6 O 2.60-2.86
U 0.6421 0.6487 0.9728  2 O 1.86-1.87
U 0.4188 0.4111 0.5138  2 O 1.88
O 0.6608 0.3927 0.0018  1 U 1.86

Summary:
**Crystal system**: monoclinic
**Size of the total moment**: 0.0 μB per formula unit
**Energy**: -577.16 eV for the cell shown
**Space group**: P2_1/c